{
  "formula": "ZnPb2Br6",
  "functional": "GGA-PBE",
  "state": "relaxed",
  "magnetic_moment_mub_per_atom": 0.00,
  "dft_energy_ev_per_atom": -2.906,
  "sg": "No. 136",
  "cell": [[6.892, 0.000, 0.000], [0.000, 6.892, 0.000], [0.000, 0.000, 13.077]],
  "species": ["Zn", "Zn", "Pb", "Pb", "Pb", "Pb", "Br", "Br", "Br", "Br", "Br", "Br", "Br", "Br", "Br", "Br", "Br", "Br"],
  "fractional_positions": [[0.000, 0.000, 0.000], [0.500, 0.500, 0.500], [0.000, 0.000, 0.335], [0.000, 0.000, 0.665], [0.500, 0.500, 0.165], [0.500, 0.500, 0.835], [0.185, 0.185, 0.147], [0.185, 0.185, 0.853], [0.219, 0.219, 0.500], [0.281, 0.719, 0.000], [0.315, 0.685, 0.353], [0.315, 0.685, 0.647], [0.685, 0.315, 0.353], [0.685, 0.315, 0.647], [0.719, 0.281, 0.000], [0.781, 0.781, 0.500], [0.815, 0.815, 0.147], [0.815, 0.815, 0.853]]
}

{
  "formula": "ZnPbBr3",
  "functional": "GGA-PBE",
  "state": "relaxed",
  "magnetic_moment_mub_per_atom": 0.13,
  "dft_energy_ev_per_atom": -2.284,
  "sg": "No. 221",
  "cell": [[5.826, 0.000, 0.000], [0.000, 5.826, 0.000], [0.000, 0.000, 5.826]],
  "species": ["Zn", "Pb", "Br", "Br", "Br"],
  "fractional_positions": [[0.000, 0.000, 0.000], [0.500, 0.500, 0.500], [0.000, 0.500, 0.500], [0.500, 0.000, 0.500], [0.500, 0.500, 0.000]]
}

{
  "formula": "ZnPb2Br",
  "functional": "GGA-PBE",
  "state": "relaxed",
  "magnetic_moment_mub_per_atom": 0.00,
  "dft_energy_ev_per_atom": -2.529,
  "sg": "No. 216",
  "cell": [[7.635, 0.000, 0.000], [0.000, 7.635, 0.000], [0.000, 0.000, 7.635]],
  "species": ["Zn", "Zn", "Zn", "Zn", "Pb", "Pb", "Pb", "Pb", "Pb", "Pb", "Pb", "Pb", "Br", "Br", "Br", "Br"],
  "fractional_positions": [[0.000, 0.000, 0.000], [0.000, 0.500, 0.500], [0.500, 0.000, 0.500], [0.500, 0.500, 0.000], [0.000, 0.000, 0.500], [0.000, 0.500, 0.000], [0.250, 0.250, 0.750], [0.250, 0.750, 0.250], [0.500, 0.000, 0.000], [0.500, 0.500, 0.500], [0.750, 0.250, 0.250], [0.750, 0.750, 0.750], [0.250, 0.250, 0.250], [0.250, 0.750, 0.750], [0.750, 0.250, 0.750], [0.750, 0.750, 0.250]]
}

{
  "formula": "ZnPbBr2",
  "functional": "GGA-PBE",
  "state": "relaxed",
  "magnetic_moment_mub_per_atom": 0.00,
  "dft_energy_ev_per_atom": -2.223,
  "sg": "No. 216",
  "cell": [[7.636, 0.000, 0.000], [0.000, 7.636, 0.000], [0.000, 0.000, 7.636]],
  "species": ["Zn", "Zn", "Zn", "Zn", "Pb", "Pb", "Pb", "Pb", "Br", "Br", "Br", "Br", "Br", "Br", "Br", "Br"],
  "fractional_positions": [[0.000, 0.000, 0.000], [0.000, 0.500, 0.500], [0.500, 0.000, 0.500], [0.500, 0.500, 0.000], [0.250, 0.250, 0.750], [0.250, 0.750, 0.250], [0.750, 0.250, 0.250], [0.750, 0.750, 0.750], [0.000, 0.000, 0.500], [0.000, 0.500, 0.000], [0.250, 0.250, 0.250], [0.250, 0.750, 0.750], [0.500, 0.000, 0.000], [0.500, 0.500, 0.500], [0.750, 0.250, 0.750], [0.750, 0.750, 0.250]]
}